The following is a DFT calculation (GGA-PBE) of a geometry-optimized Tb2Pm5DyHo structure.

Summary:
ΔE_f = 13.8 kJ/mol of atoms
Calculated volume = 1222 Å³ per cell
Energy = -4.545 eV/atom
Spin magnetization = 0.00 μB/f.u.

Cell: 5.6516 20.2664 10.6662 Å, 90.00 90.00 90.00°
Space group Cmc2_1 (No. 36)
One atom of each set of equivalent atoms:
Tb 0.0000 0.1122 0.0000 x4
Tb 0.0000 0.1151 0.5771 x4
Pm 0.0000 0.0166 0.2820 x4
Pm 0.0000 0.2800 0.5750 x4
Pm 0.0000 0.2978 0.9698 x4
Pm 0.0000 0.3862 0.2852 x4
Pm 0.0000 0.4815 0.0056 x4
Dy 0.0000 0.4094 0.7232 x4
Ho 0.0000 0.1991 0.2737 x4